(1)
An optimized crystal structure of CdGa3Fe, computed with PBE.

Output
For the size of the total moment, the calculation gives 0.000 μB/cell. The density of states at the Fermi level is 0.588 states/eV per atom. As for the symmetry: No. 221. The formation enthalpy at 0 K is 7 kJ/mol of atoms. The energy above the most stable polymorph in this dataset comes out at 0.0 kJ/mol of atoms.

abc: 4.6216 4.6216 4.6216
angles: 90.00 90.00 90.00
Fractional positions:
Cd  0.0000  0.0000  0.0000
Ga  0.0000  0.5000  0.5000
Ga  0.5000  0.0000  0.5000
Ga  0.5000  0.5000  0.0000
Fe  0.5000  0.5000  0.5000

(2)
An optimized crystal structure of Nb2Ga2Fe3, computed with PBE.

Output
For the size of the total moment, the calculation gives 5.301 μB/cell. The density of states at the Fermi level is 0.655 states/eV per atom. As for the symmetry: No. 65. The formation enthalpy at 0 K is 1 kJ/mol of atoms.

abc: 9.0449 9.0449 2.8782
angles: 90.00 90.00 154.19
Fractional positions:
Nb  0.1390  0.8610  0.0000
Nb  0.8610  0.1390  0.0000
Ga  0.2917  0.7083  0.5000
Ga  0.7083  0.2917  0.5000
Fe  0.0000  0.0000  0.0000
Fe  0.4372  0.5628  0.5000
Fe  0.5628  0.4372  0.5000

(3)
An optimized crystal structure of CaScIN2, computed with PBE.

Output
For the size of the total moment, the calculation gives 0.000 μB/cell. The density of states at the Fermi level is 0.692 states/eV per atom. As for the symmetry: No. 123. The formation energy without anion corrections is 0.910 eV/atom. The energy above the most stable polymorph in this dataset comes out at 99.6 kJ/mol of atoms.

abc: 4.3897 4.3897 5.6822
angles: 90.00 90.00 90.00
Fractional positions:
Ca  0.0000  0.0000  0.0000
Sc  0.5000  0.5000  0.5000
I  0.0000  0.0000  0.5000
N  0.0000  0.5000  0.0000
N  0.5000  0.0000  0.0000

Number 1 is which compound?
CdGa3Fe

Which formula does entry 2 have?
Nb2Ga2Fe3